DFT (PBE) results for crystalline Rb3U2NiSe6 at its relaxed geometry.

a = 7.1912 Å, b = 12.4507 Å, c = 8.3312 Å
α = 90.00°, β = 106.70°, γ = 90.00°
Space group C2/m (No. 12)
Inequivalent atoms, fractional coordinates:
Rb  0.0000  0.0000  0.0000
Rb  0.0000  0.3342  0.0000
U  0.0000  0.1668  0.5000
Ni  0.0000  0.5000  0.5000
Se  0.2255  0.3375  0.6891
Se  0.2378  0.0000  0.6888

Calculated values
Raw formation energy   -987 meV per atom

=====

DFT (PBE) results for crystalline AlAg2Ir at its relaxed geometry.

a = 3.0652 Å, b = 4.3989 Å, c = 4.7408 Å
α = 90.00°, β = 90.00°, γ = 90.00°
Space group Pmmm (No. 47)
Inequivalent atoms, fractional coordinates:
Al  0.0000  0.0000  0.0000
Ag  0.0000  0.5000  0.5000
Ag  0.5000  0.0000  0.5000
Ir  0.5000  0.5000  0.0000

Calculated values
DFT formation energy   -0.06 eV per atom

=====

| no. | D(E_F) (states/eV per atom) |
| --- | --- |
| 1 | 1.52 |
| 2 | 0.48 |